CaSm6Ho4, relaxed, DFT PBE; DOS at the Fermi energy = 12.31 states/eV per cell; total moment = 0.00 μB/f.u.; DFT formation energy = 0.429 eV/atom; crystal system = tetragonal; E = -0.293 Ry/atom
1.0
-8.309 1.384 -1.246
4.183 -6.905 -2.708
3.440 -2.203 7.472
Sm Ca Ho
6 1 4
direct
0.500 0.500 0.000 Sm
0.331 0.591 0.591 Sm
0.000 0.740 0.409 Sm
0.669 0.260 0.260 Sm
0.500 0.000 0.500 Sm
0.000 0.409 0.740 Sm
0.000 0.000 0.000 Ca
0.526 0.451 0.451 Ho
0.000 0.075 0.549 Ho
0.474 0.925 0.925 Ho
0.000 0.549 0.075 Ho